i | # CaDyMnSnO6 (PBE+U, relaxed)
# ρ = 5.9 Mg/m³
data_CaDyMnSnO6
_chemical_formula_sum 'Ca1 Dy1 Mn1 Sn1 O6'
_cell_length_a 5.7365
_cell_length_b 5.7365
_cell_length_c 5.7365
_cell_angle_alpha 60.00
_cell_angle_beta 60.00
_cell_angle_gamma 60.00
_space_group_name_H-M_alt 'P 1'
_space_group_IT_number 1
_space_group_name_Hall 'P 1'
loop_
_atom_site_label
_atom_site_fract_x
_atom_site_fract_y
_atom_site_fract_z
O1 0.2679 0.7321 0.7321
O2 0.2679 0.2679 0.7321
O3 0.7321 0.2679 0.2679
O4 0.7321 0.2679 0.7321
Dy1 0.0000 0.0000 0.0000
O5 0.7321 0.7321 0.2679
Ca1 0.2500 0.2500 0.2500
Sn1 0.7500 0.7500 0.7500
O6 0.2679 0.7321 0.2679
Mn1 0.5000 0.5000 0.5000

ii | # CaDyMnSnO6 (PBE+U, relaxed)
# ρ = 5.9 Mg/m³
data_CaDyMnSnO6
_chemical_formula_sum 'Ca2 Dy2 Mn2 Sn2 O12'
_cell_length_a 5.5178
_cell_length_b 5.5150
_cell_length_c 8.7713
_cell_angle_alpha 91.41
_cell_angle_beta 95.05
_cell_angle_gamma 92.36
_space_group_name_H-M_alt 'P 1'
_space_group_IT_number 1
_space_group_name_Hall 'P 1'
loop_
_atom_site_label
_atom_site_fract_x
_atom_site_fract_y
_atom_site_fract_z
Sn1 0.4878 0.5447 0.7804
O1 0.2468 0.7897 0.8841
O2 0.8605 0.1846 0.4646
Ca1 0.5000 0.0000 0.5000
Mn1 0.0000 0.5000 0.5000
Dy1 0.0250 0.0540 0.7223
O3 0.8064 0.3801 0.7698
Sn2 0.5122 0.4553 0.2196
O4 0.1395 0.8154 0.5354
O5 0.1936 0.6199 0.2302
O6 0.6589 0.8697 0.7411
O7 0.6714 0.7175 0.0753
Ca2 0.0000 0.5000 0.0000
O8 0.7181 0.6488 0.3904
Dy2 0.9750 0.9460 0.2777
O9 0.7532 0.2103 0.1159
Mn2 0.5000 0.0000 0.0000
O10 0.3411 0.1303 0.2589
O11 0.3286 0.2825 0.9247
O12 0.2819 0.3512 0.6096

iii | # CaDyMnSnO6 (PBE+U, relaxed)
# ρ = 6.4 Mg/m³
data_CaDyMnSnO6
_chemical_formula_sum 'Ca2 Dy2 Mn2 Sn2 O12'
_cell_length_a 5.8324
_cell_length_b 5.4668
_cell_length_c 9.4165
_cell_angle_alpha 55.08
_cell_angle_beta 90.00
_cell_angle_gamma 90.00
_space_group_name_H-M_alt 'P 1'
_space_group_IT_number 1
_space_group_name_Hall 'P 1'
loop_
_atom_site_label
_atom_site_fract_x
_atom_site_fract_y
_atom_site_fract_z
Ca1 0.1910 0.7649 0.7476
O1 0.5529 0.1555 0.0508
O2 0.7897 0.6179 0.7584
Dy1 0.3267 0.2252 0.2534
Sn1 0.2403 0.9985 0.9996
Sn2 0.7597 0.9985 0.4996
Dy2 0.6733 0.2252 0.7534
Ca2 0.8090 0.7649 0.2476
O3 0.0703 0.8629 0.4461
O4 0.9278 0.2467 0.5637
O5 0.7073 0.3631 0.2405
O6 0.0722 0.2467 0.0637
O7 0.2103 0.6179 0.2584
Mn1 0.2464 0.4966 0.5000
O8 0.2927 0.3631 0.7405
Mn2 0.7536 0.4966 0.0000
O9 0.9297 0.8629 0.9461
O10 0.5563 0.7686 0.4398
O11 0.4471 0.1555 0.5508
O12 0.4437 0.7686 0.9398

Which of them is the most stable, and which is the least stable? iii and i, in that order.